Entry 1:
# K4Ge2Au7, PBEsol geometry, DFT SCAN
# * energy relative to the elements: -0.4718 eV per atom
data_K4Ge2Au7
_cell_length_a 6.4442
_cell_length_b 6.4442
_cell_length_c 27.9616
_cell_angle_alpha 90.00
_cell_angle_beta 90.00
_cell_angle_gamma 120.00
_symmetry_space_group_name_H-M 'R -3 m'
_symmetry_Int_Tables_number 166
_symmetry_space_group_name_Hall '-R 3 2"'
loop_
_atom_site_label
_atom_site_type_symbol
_atom_site_fract_x
_atom_site_fract_y
_atom_site_fract_z
_atom_site_occupancy
K1 K 0.0000 0.0000 0.1831 1
K2 K 0.0000 0.0000 0.3107 1
Ge1 Ge 0.0000 0.0000 0.0448 1
Au1 Au 0.0000 0.0000 0.5000 1
Au2 Au 0.0482 0.5241 0.2468 1

---

Entry 2:
# K3Ge4Au, PBEsol geometry, DFT SCAN
# * energy relative to the elements: -0.3501 eV per atom
data_K3Ge4Au
_cell_length_a 6.544
_cell_length_b 11.904
_cell_length_c 6.059
_cell_angle_alpha 90.00
_cell_angle_beta 90.00
_cell_angle_gamma 90.00
_symmetry_space_group_name_H-M 'P m m n'
_symmetry_Int_Tables_number 59
loop_
_symmetry_equiv_pos_as_xyz
'x,y,z'
'-x,-y,-z'
'-x+1/2,-y+1/2,z'
'x+1/2,y+1/2,-z'
'x+1/2,-y,-z'
'-x+1/2,y,z'
'-x,y+1/2,-z'
'x,-y+1/2,z'
loop_
_atom_site_label
_atom_site_type_symbol
_atom_site_fract_x
_atom_site_fract_y
_atom_site_fract_z
_atom_site_occupancy
K1 K 0.250 0.013 0.168 1
K2 K 0.250 0.250 0.571 1
Ge1 Ge 0.040 0.750 0.944 1
Ge2 Ge 0.250 0.634 0.672 1
Au1 Au 0.250 0.750 0.309 1

---

Entry 3:
# KGeAuS3, PBEsol geometry, DFT SCAN
# * E_form (uncorrected): -0.716 eV/atom
data_KGeAuS3
_cell_length_a 10.573
_cell_length_b 10.985
_cell_length_c 11.747
_cell_angle_alpha 90.00
_cell_angle_beta 119.01
_cell_angle_gamma 90.00
_symmetry_space_group_name_H-M 'P 1 21/c 1'
_symmetry_Int_Tables_number 14
loop_
_symmetry_equiv_pos_as_xyz
'x,y,z'
'-x,-y,-z'
'-x,y+1/2,-z+1/2'
'x,-y+1/2,z+1/2'
loop_
_atom_site_label
_atom_site_type_symbol
_atom_site_fract_x
_atom_site_fract_y
_atom_site_fract_z
_atom_site_occupancy
K1 K 0.087 0.233 0.121 1
K2 K 0.375 0.734 0.704 1
Ge1 Ge 0.334 0.501 0.417 1
Ge2 Ge 0.335 0.005 0.443 1
Au1 Au 0.013 0.591 0.145 1
Au2 Au 0.016 0.583 0.680 1
S1 S 0.180 0.501 0.497 1
S2 S 0.207 0.665 0.864 1
S3 S 0.211 0.174 0.423 1
S4 S 0.233 0.504 0.202 1
S5 S 0.482 0.027 0.352 1
S6 S 0.500 0.152 0.992 1

---

Values of energy, in order: -43.209; -21.662; -21.625, all in eV/atom.